# Ba2SrRe3O12 (PBE, optimized geometry)
# V in Å³ per cell: 267.0
# Uncorrected energy in eV per atom: -7.7701
# Symmetry: R-3m (166)
# Total magnetization in Bohr magnetons per cell: 0.00
data_Ba2SrRe3O12
_cell_length_a 7.0242
_cell_length_b 7.0242
_cell_length_c 7.0242
_cell_angle_alpha 64.06
_cell_angle_beta 64.06
_cell_angle_gamma 64.06
_space_group_name_H-M_alt 'P 1'
_space_group_IT_number 1
_space_group_name_Hall 'P 1'
loop_
_atom_site_label
_atom_site_type_symbol
_atom_site_fract_x
_atom_site_fract_y
_atom_site_fract_z
Ba1 Ba 0.1110 0.1110 0.1110
Ba2 Ba 0.8890 0.8890 0.8890
Sr1 Sr 0.5000 0.5000 0.5000
Re1 Re 0.0000 0.5000 0.5000
Re2 Re 0.5000 0.0000 0.5000
Re3 Re 0.5000 0.5000 0.0000
O1 O 0.0530 0.6360 0.6360
O2 O 0.2249 0.2249 0.6083
O3 O 0.2249 0.6083 0.2249
O4 O 0.3640 0.3640 0.9470
O5 O 0.3640 0.9470 0.3640
O6 O 0.3917 0.7751 0.7751
O7 O 0.6083 0.2249 0.2249
O8 O 0.6360 0.0530 0.6360
O9 O 0.6360 0.6360 0.0530
O10 O 0.7751 0.3917 0.7751
O11 O 0.7751 0.7751 0.3917
O12 O 0.9470 0.3640 0.3640